Material: Ca3Cu2
Method: DFT, PBE
State: relaxed

extended XYZ file:
```
10
Lattice="7.854 0.000 0.000 0.000 7.854 0.000 0.000 0.000 4.275" Properties=species:S:1:pos:R:3 pbc="T T T"
Ca 0.000 0.000 0.000
Ca 1.318 2.609 2.138
Ca 2.609 6.536 2.138
Ca 3.927 3.927 0.000
Ca 5.244 1.318 2.138
Ca 6.536 5.244 2.138
Cu 0.897 4.824 0.000
Cu 3.030 0.897 0.000
Cu 4.824 6.957 0.000
Cu 6.957 3.030 0.000
```

Spin magnetization ... 0.0 μB/cell
Mass density ... 3.1 Mg/m³
Offset from the most stable computed form ... 0.00 kcal/mol of atoms